1.
A geometry-optimized Be2AsIr structure, computed with PBE.

Unit cell a=4.723 b=4.723 c=2.956 alpha=105.72 beta=105.72 gamma=114.90
Fractional coordinates of all 4 atoms:
Be (0.000, 0.500, 0.000)
Be (0.500, 0.000, 0.000)
As (0.000, 0.000, 0.000)
Ir (0.500, 0.500, 0.000)

Summary:
**Space group**: C2/m, No. 12


2.
A geometry-optimized BeAs2Ir2 structure, computed with PBE.

Unit cell a=5.429 b=5.429 c=5.429 alpha=131.85 beta=131.85 gamma=70.47
Fractional coordinates of all 5 atoms:
Be (0.000, 0.000, 0.000)
As (0.366, 0.366, 0.000)
As (0.634, 0.634, 0.000)
Ir (0.250, 0.750, 0.500)
Ir (0.750, 0.250, 0.500)

Summary:
**Space group**: I4/mmm, No. 139


3.
A geometry-optimized Be2AsIr structure, computed with PBE.

Unit cell a=4.150 b=4.150 c=5.283 alpha=96.24 beta=96.24 gamma=40.64
Fractional coordinates of all 4 atoms:
Be (0.000, 0.000, 0.000)
Be (0.702, 0.702, 0.799)
As (0.602, 0.602, 0.385)
Ir (0.292, 0.292, 0.115)

Summary:
**Space group**: Cm, No. 8


4.
A geometry-optimized Be2AsIr structure, computed with PBE.

Unit cell a=4.479 b=4.479 c=4.479 alpha=132.21 beta=132.21 gamma=69.90
Fractional coordinates of all 4 atoms:
Be (0.000, 0.000, 0.000)
Be (0.750, 0.250, 0.500)
As (0.250, 0.750, 0.500)
Ir (0.500, 0.500, 0.000)

Summary:
**Space group**: I-4m2, No. 119


5.
A geometry-optimized Be4AsIr structure, computed with PBE.

Unit cell a=4.467 b=4.467 c=4.467 alpha=60.00 beta=60.00 gamma=60.00
Fractional coordinates of all 6 atoms:
Be (0.122, 0.122, 0.122)
Be (0.122, 0.122, 0.635)
Be (0.122, 0.635, 0.122)
Be (0.635, 0.122, 0.122)
As (0.500, 0.500, 0.500)
Ir (0.750, 0.750, 0.750)

Summary:
**Space group**: F-43m, No. 216


6.
A geometry-optimized BeAsIr structure, computed with PBE.

Unit cell a=3.970 b=3.970 c=3.090 alpha=90.00 beta=90.00 gamma=120.00
Fractional coordinates of all 3 atoms:
Be (0.000, 0.000, 0.000)
As (0.333, 0.667, 0.500)
Ir (0.667, 0.333, 0.000)

Summary:
**Space group**: P-6m2, No. 187
**Distance to the lowest polymorph of the same formula**: 0.205 eV/atom


7.
A geometry-optimized Be2AsIr structure, computed with PBE.

Unit cell a=2.964 b=2.964 c=5.706 alpha=90.00 beta=90.00 gamma=90.00
Fractional coordinates of all 4 atoms:
Be (0.000, 0.000, 0.000)
Be (0.500, 0.500, 0.209)
As (0.500, 0.500, 0.747)
Ir (0.000, 0.000, 0.387)

Summary:
**Space group**: P4mm, No. 99


8.
A geometry-optimized Be2AsIr2 structure, computed with PBE.

Unit cell a=6.615 b=6.615 c=2.857 alpha=90.00 beta=90.00 gamma=90.00
Fractional coordinates of all 10 atoms:
Be (0.121, 0.379, 0.000)
Be (0.379, 0.879, 0.000)
Be (0.621, 0.121, 0.000)
Be (0.879, 0.621, 0.000)
As (0.000, 0.000, 0.000)
As (0.500, 0.500, 0.000)
Ir (0.168, 0.668, 0.500)
Ir (0.332, 0.168, 0.500)
Ir (0.668, 0.832, 0.500)
Ir (0.832, 0.332, 0.500)

Summary:
**Space group**: P4/mbm, No. 127
**Distance to the lowest polymorph of the same formula**: 0.062 eV/atom


| no. | DOS(E_F) (states/eV per atom) | energy relative to the elements (eV/atom) |
| --- | --- | --- |
| 1 | 0.44 | 0.122 |
| 2 | 0.85 | 0.431 |
| 3 | 0.10 | -0.141 |
| 4 | 0.20 | 0.006 |
| 5 | 0.25 | -0.119 |
| 6 | 0.45 | 0.101 |
| 7 | 0.40 | 0.011 |
| 8 | 0.74 | -0.126 |